Record 1
## BaNdCuSeS2 (PBE)

Data for BaNdCuSeS2 after structural relaxation.

Lattice parameters (Å, degrees): 4.144 13.975 10.878 90.00 90.00 90.00
Space group Cmcm (No. 63)
Asymmetric unit:
1 Ba 0.000 0.243 0.250 (multiplicity 4)
2 Nd 0.000 0.000 0.000 (multiplicity 4)
3 Cu 0.000 0.470 0.750 (multiplicity 4)
4 Se 0.000 0.078 0.750 (multiplicity 4)
5 S 0.000 0.371 0.575 (multiplicity 8)

***

Record 2
## BaNdCuSe2S (PBE)

Data for BaNdCuSe2S after structural relaxation.

Lattice parameters (Å, degrees): 4.177 14.094 10.669 90.00 90.00 90.00
Space group Cmcm (No. 63)
Asymmetric unit:
1 Ba 0.000 0.236 0.250 (multiplicity 4)
2 Nd 0.000 0.500 0.000 (multiplicity 4)
3 Cu 0.000 0.029 0.750 (multiplicity 4)
4 Se 0.000 0.139 0.567 (multiplicity 8)
5 S 0.000 0.436 0.750 (multiplicity 4)

***

Record 3
## BaNdCuTe3 (PBE)

Data for BaNdCuTe3 after structural relaxation.

Lattice parameters (Å, degrees): 12.628 4.642 12.882 90.00 90.00 90.00
Space group Pnma (No. 62)
Asymmetric unit:
1 Ba 0.195 0.250 0.006 (multiplicity 4)
2 Nd 0.026 0.250 0.316 (multiplicity 4)
3 Cu 0.235 0.750 0.211 (multiplicity 4)
4 Te 0.040 0.750 0.144 (multiplicity 4)
5 Te 0.105 0.250 0.564 (multiplicity 4)
6 Te 0.218 0.750 0.800 (multiplicity 4)

***

Record 4
## BaCu2Ni (PBE)

Data for BaCu2Ni after structural relaxation.

Lattice parameters (Å, degrees): 6.826 6.826 6.826 90.00 90.00 90.00
Space group F-43m (No. 216)
Asymmetric unit:
1 Ba 0.000 0.000 0.000 (multiplicity 4)
2 Cu 0.000 0.000 0.500 (multiplicity 4)
3 Cu 0.250 0.250 0.250 (multiplicity 4)
4 Ni 0.250 0.250 0.750 (multiplicity 4)

***

Record 5
## Ba2CuNiP2 (PBE)

Data for Ba2CuNiP2 after structural relaxation.

Lattice parameters (Å, degrees): 4.0895 4.0895 9.4856 90.00 90.00 120.00
Space group P-6m2 (No. 187)
Asymmetric unit:
1 Ba 0.0000 0.0000 0.2449 (multiplicity 2)
2 Cu 0.3333 0.6667 0.5000 (multiplicity 1)
3 Ni 0.6667 0.3333 0.0000 (multiplicity 1)
4 P 0.3333 0.6667 0.0000 (multiplicity 1)
5 P 0.6667 0.3333 0.5000 (multiplicity 1)

***

Record 6
## BaCuNiSb (PBE)

Data for BaCuNiSb after structural relaxation.

Lattice parameters (Å, degrees): 7.050 7.050 7.050 90.00 90.00 90.00
Space group F-43m (No. 216)
Asymmetric unit:
1 Ba 0.000 0.000 0.000 (multiplicity 4)
2 Cu 0.250 0.250 0.750 (multiplicity 4)
3 Ni 0.250 0.250 0.250 (multiplicity 4)
4 Sb 0.000 0.000 0.500 (multiplicity 4)

***

Record 7
## BaCuNiSb (PBE)

Data for BaCuNiSb after structural relaxation.

Lattice parameters (Å, degrees): 7.253 7.253 7.253 90.00 90.00 90.00
Space group F-43m (No. 216)
Asymmetric unit:
1 Ba 0.000 0.000 0.000 (multiplicity 4)
2 Cu 0.000 0.000 0.500 (multiplicity 4)
3 Ni 0.250 0.250 0.750 (multiplicity 4)
4 Sb 0.250 0.250 0.250 (multiplicity 4)

***

Record 8
## BaCuNiSb (PBE)

Data for BaCuNiSb after structural relaxation.

Lattice parameters (Å, degrees): 7.201 7.201 7.201 90.00 90.00 90.00
Space group F-43m (No. 216)
Asymmetric unit:
1 Ba 0.000 0.000 0.000 (multiplicity 4)
2 Cu 0.250 0.250 0.250 (multiplicity 4)
3 Ni 0.000 0.000 0.500 (multiplicity 4)
4 Sb 0.250 0.250 0.750 (multiplicity 4)

***

Record 9
## Ba2CuNiSb2 (PBE)

Data for Ba2CuNiSb2 after structural relaxation.

Lattice parameters (Å, degrees): 4.5197 4.5197 9.7938 90.00 90.00 120.00
Space group P-6m2 (No. 187)
Asymmetric unit:
1 Ba 0.0000 0.0000 0.2478 (multiplicity 2)
2 Cu 0.6667 0.3333 0.5000 (multiplicity 1)
3 Ni 0.3333 0.6667 0.0000 (multiplicity 1)
4 Sb 0.3333 0.6667 0.5000 (multiplicity 1)
5 Sb 0.6667 0.3333 0.0000 (multiplicity 1)

***

Record 10
## BaNpCu (PBE)

Data for BaNpCu after structural relaxation.

Lattice parameters (Å, degrees): 7.198 7.198 7.198 90.00 90.00 90.00
Space group F-43m (No. 216)
Asymmetric unit:
1 Ba 0.000 0.000 0.000 (multiplicity 4)
2 Np 0.250 0.250 0.250 (multiplicity 4)
3 Cu 0.250 0.250 0.750 (multiplicity 4)

***

Record 11
## BaNpCuSe3 (PBE)

Data for BaNpCuSe3 after structural relaxation.

Lattice parameters (Å, degrees): 4.203 10.745 7.373 90.00 106.48 90.00
Space group P2_1/m (No. 11)
Asymmetric unit:
1 Ba 0.250 0.250 0.009 (multiplicity 2)
2 Np 0.000 0.000 0.500 (multiplicity 2)
3 Cu 0.466 0.750 0.435 (multiplicity 2)
4 Se 0.069 0.750 0.635 (multiplicity 2)
5 Se 0.367 0.564 0.231 (multiplicity 4)

***

E / eV/atom: -5.3243, -5.1994, -4.5322, -3.1920, -4.7251, -3.7951, -3.4869, -3.5752, -4.2196, -4.8313, -6.0931
Size of the total moment / μB per formula unit: 0.00, 0.01, 0.00, 0.00, 0.00, 0.02, 0.44, 0.04, 0.13, 5.31, 4.00
Density / Mg/m³: 5.15, 5.66, 6.40, 6.75, 5.55, 7.23, 6.64, 6.78, 6.14, 7.80, 7.02